[1]
# CoHgRh2 (GGA-PBE, relaxed)
# - Energy of formation: 0.2767 eV/atom
# - Fermi-level density of states: 13.74 states/eV/cell
# - Total magnetic moment: 5.0 μB/cell
data_CoHgRh2
_cell_length_a 9.0661
_cell_length_b 2.8408
_cell_length_c 4.8313
_cell_angle_alpha 90.00
_cell_angle_beta 101.35
_cell_angle_gamma 90.00
_space_group_name_H-M_alt 'C 1 m 1'
_space_group_IT_number 8
_space_group_name_Hall 'C -2y'
loop_
_atom_site_label
_atom_site_type_symbol
_atom_site_fract_x
_atom_site_fract_y
_atom_site_fract_z
_atom_site_occupancy
Co1 Co 0.0000 0.0000 0.0000 1
Hg1 Hg 0.2437 0.0000 0.7247 1
Rh1 Rh 0.2365 0.5000 0.2143 1
Rh2 Rh 0.4834 0.0000 0.4435 1


[2]
# CoHg2Rh (GGA-PBE, relaxed)
# - Energy of formation: 0.3506 eV/atom
# - Fermi-level density of states: 5.82 states/eV/cell
# - ΔE to the lowest computed polymorph: 123 meV per atom
# - Total magnetic moment: 1.2 μB/cell
data_CoHg2Rh
_cell_length_a 3.1935
_cell_length_b 3.1935
_cell_length_c 6.5057
_cell_angle_alpha 90.00
_cell_angle_beta 90.00
_cell_angle_gamma 90.00
_space_group_name_H-M_alt 'P 4/m m m'
_space_group_IT_number 123
_space_group_name_Hall '-P 4 2'
loop_
_atom_site_label
_atom_site_type_symbol
_atom_site_fract_x
_atom_site_fract_y
_atom_site_fract_z
_atom_site_occupancy
Co1 Co 0.0000 0.0000 0.0000 1
Hg1 Hg 0.5000 0.5000 0.2401 1
Rh1 Rh 0.0000 0.0000 0.5000 1


[3]
# CoHg2Rh (GGA-PBE, relaxed)
# - Energy of formation: 0.3451 eV/atom
# - Fermi-level density of states: 8.80 states/eV/cell
# - ΔE to the lowest computed polymorph: 118 meV per atom
# - Total magnetic moment: 4.3 μB/cell
data_CoHg2Rh
_cell_length_a 2.9693
_cell_length_b 4.7241
_cell_length_c 9.7648
_cell_angle_alpha 90.00
_cell_angle_beta 90.00
_cell_angle_gamma 90.00
_space_group_name_H-M_alt 'I m m 2'
_space_group_IT_number 44
_space_group_name_Hall 'I 2 -2'
loop_
_atom_site_label
_atom_site_type_symbol
_atom_site_fract_x
_atom_site_fract_y
_atom_site_fract_z
_atom_site_occupancy
Co1 Co 0.0000 0.0000 0.0000 1
Hg1 Hg 0.0000 0.0000 0.4719 1
Hg2 Hg 0.0000 0.5000 0.2531 1
Rh1 Rh 0.0000 0.5000 0.7084 1


[4]
# CoHg2Rh (GGA-PBE, relaxed)
# - Energy of formation: 0.3322 eV/atom
# - Fermi-level density of states: 9.83 states/eV/cell
# - ΔE to the lowest computed polymorph: 105 meV per atom
# - Total magnetic moment: 4.1 μB/cell
data_CoHg2Rh
_cell_length_a 10.2474
_cell_length_b 2.9522
_cell_length_c 4.7807
_cell_angle_alpha 90.00
_cell_angle_beta 109.07
_cell_angle_gamma 90.00
_space_group_name_H-M_alt 'C 1 m 1'
_space_group_IT_number 8
_space_group_name_Hall 'C -2y'
loop_
_atom_site_label
_atom_site_type_symbol
_atom_site_fract_x
_atom_site_fract_y
_atom_site_fract_z
_atom_site_occupancy
Co1 Co 0.0000 0.0000 0.0000 1
Hg1 Hg 0.2475 0.0000 0.8307 1
Hg2 Hg 0.4624 0.0000 0.4761 1
Rh1 Rh 0.2014 0.5000 0.2969 1


[5]
# CoHg2Rh (GGA-PBE, relaxed)
# - Energy of formation: 0.4659 eV/atom
# - Fermi-level density of states: 23.05 states/eV/cell
# - ΔE to the lowest computed polymorph: 238 meV per atom
# - Total magnetic moment: 7.3 μB/cell
data_CoHg2Rh
_cell_length_a 6.4753
_cell_length_b 6.4753
_cell_length_c 6.4753
_cell_angle_alpha 90.00
_cell_angle_beta 90.00
_cell_angle_gamma 90.00
_space_group_name_H-M_alt 'F -4 3 m'
_space_group_IT_number 216
_space_group_name_Hall 'F -4 2 3'
loop_
_atom_site_label
_atom_site_type_symbol
_atom_site_fract_x
_atom_site_fract_y
_atom_site_fract_z
_atom_site_occupancy
Co1 Co 0.0000 0.0000 0.0000 1
Hg1 Hg 0.0000 0.0000 0.5000 1
Hg2 Hg 0.2500 0.2500 0.2500 1
Rh1 Rh 0.2500 0.2500 0.7500 1


[6]
# CoHg2Rh (GGA-PBE, relaxed)
# - Energy of formation: 0.6302 eV/atom
# - Fermi-level density of states: 23.50 states/eV/cell
# - ΔE to the lowest computed polymorph: 403 meV per atom
# - Total magnetic moment: 8.4 μB/cell
data_CoHg2Rh
_cell_length_a 7.3375
_cell_length_b 7.3375
_cell_length_c 5.5064
_cell_angle_alpha 90.00
_cell_angle_beta 90.00
_cell_angle_gamma 90.00
_space_group_name_H-M_alt 'I -4 2 d'
_space_group_IT_number 122
_space_group_name_Hall 'I -4 2bw'
loop_
_atom_site_label
_atom_site_type_symbol
_atom_site_fract_x
_atom_site_fract_y
_atom_site_fract_z
_atom_site_occupancy
Co1 Co 0.0000 0.0000 0.0000 1
Hg1 Hg 0.2359 0.2500 0.1250 1
Rh1 Rh 0.0000 0.0000 0.5000 1


[7]
# CoHgRh (GGA-PBE, relaxed)
# - Energy of formation: 0.8936 eV/atom
# - Fermi-level density of states: 20.47 states/eV/cell
# - ΔE to the lowest computed polymorph: 663 meV per atom
# - Total magnetic moment: 9.4 μB/cell
data_CoHgRh
_cell_length_a 6.0840
_cell_length_b 6.0840
_cell_length_c 6.0840
_cell_angle_alpha 90.00
_cell_angle_beta 90.00
_cell_angle_gamma 90.00
_space_group_name_H-M_alt 'F -4 3 m'
_space_group_IT_number 216
_space_group_name_Hall 'F -4 2 3'
loop_
_atom_site_label
_atom_site_type_symbol
_atom_site_fract_x
_atom_site_fract_y
_atom_site_fract_z
_atom_site_occupancy
Co1 Co 0.0000 0.0000 0.0000 1
Hg1 Hg 0.2500 0.2500 0.2500 1
Rh1 Rh 0.0000 0.0000 0.5000 1


[8]
# CoHgRh2 (GGA-PBE, relaxed)
# - Energy of formation: 0.5076 eV/atom
# - Fermi-level density of states: 32.39 states/eV/cell
# - Total magnetic moment: 13.4 μB/cell
data_CoHgRh2
_cell_length_a 7.0744
_cell_length_b 7.0744
_cell_length_c 5.3062
_cell_angle_alpha 90.00
_cell_angle_beta 90.00
_cell_angle_gamma 90.00
_space_group_name_H-M_alt 'I -4 2 d'
_space_group_IT_number 122
_space_group_name_Hall 'I -4 2bw'
loop_
_atom_site_label
_atom_site_type_symbol
_atom_site_fract_x
_atom_site_fract_y
_atom_site_fract_z
_atom_site_occupancy
Co1 Co 0.0000 0.0000 0.0000 1
Hg1 Hg 0.0000 0.0000 0.5000 1
Rh1 Rh 0.2035 0.2500 0.1250 1


[9]
# CoHg4Rh (GGA-PBE, relaxed)
# - Energy of formation: 0.8043 eV/atom
# - Fermi-level density of states: 30.83 states/eV/cell
# - Total magnetic moment: 8.9 μB/cell
data_CoHg4Rh
_cell_length_a 7.9069
_cell_length_b 7.9069
_cell_length_c 7.9069
_cell_angle_alpha 90.00
_cell_angle_beta 90.00
_cell_angle_gamma 90.00
_space_group_name_H-M_alt 'F -4 3 m'
_space_group_IT_number 216
_space_group_name_Hall 'F -4 2 3'
loop_
_atom_site_label
_atom_site_type_symbol
_atom_site_fract_x
_atom_site_fract_y
_atom_site_fract_z
_atom_site_occupancy
Co1 Co 0.0000 0.0000 0.0000 1
Hg1 Hg 0.1250 0.1250 0.6250 1
Rh1 Rh 0.2500 0.2500 0.2500 1


[10]
# CoHgRh2 (GGA-PBE, relaxed)
# - Energy of formation: 0.2462 eV/atom
# - Fermi-level density of states: 6.28 states/eV/cell
# - Total magnetic moment: 2.6 μB/cell
data_CoHgRh2
_cell_length_a 2.7989
_cell_length_b 3.7628
_cell_length_c 5.7798
_cell_angle_alpha 90.00
_cell_angle_beta 90.00
_cell_angle_gamma 90.00
_space_group_name_H-M_alt 'P m m 2'
_space_group_IT_number 25
_space_group_name_Hall 'P 2 -2'
loop_
_atom_site_label
_atom_site_type_symbol
_atom_site_fract_x
_atom_site_fract_y
_atom_site_fract_z
_atom_site_occupancy
Co1 Co 0.0000 0.0000 0.0000 1
Hg1 Hg 0.5000 0.5000 0.2807 1
Rh1 Rh 0.0000 0.0000 0.5613 1
Rh2 Rh 0.5000 0.5000 0.8003 1


[11]
# CoHgRh2 (GGA-PBE, relaxed)
# - Energy of formation: 0.3079 eV/atom
# - Fermi-level density of states: 5.47 states/eV/cell
# - Total magnetic moment: 3.2 μB/cell
data_CoHgRh2
_cell_length_a 2.8027
_cell_length_b 4.2308
_cell_length_c 5.3744
_cell_angle_alpha 90.00
_cell_angle_beta 105.02
_cell_angle_gamma 90.00
_space_group_name_H-M_alt 'P 1 m 1'
_space_group_IT_number 6
_space_group_name_Hall 'P -2y'
loop_
_atom_site_label
_atom_site_type_symbol
_atom_site_fract_x
_atom_site_fract_y
_atom_site_fract_z
_atom_site_occupancy
Co1 Co 0.0000 0.0000 0.0000 1
Hg1 Hg 0.6215 0.5000 0.2440 1
Rh1 Rh 0.2733 0.0000 0.5459 1
Rh2 Rh 0.8834 0.5000 0.7655 1


[12]
# CoHgRh2 (GGA-PBE, relaxed)
# - Energy of formation: 0.3296 eV/atom
# - Fermi-level density of states: 10.68 states/eV/cell
# - Total magnetic moment: 6.7 μB/cell
data_CoHgRh2
_cell_length_a 2.9670
_cell_length_b 4.5513
_cell_length_c 9.0976
_cell_angle_alpha 90.00
_cell_angle_beta 90.00
_cell_angle_gamma 90.00
_space_group_name_H-M_alt 'I m m 2'
_space_group_IT_number 44
_space_group_name_Hall 'I 2 -2'
loop_
_atom_site_label
_atom_site_type_symbol
_atom_site_fract_x
_atom_site_fract_y
_atom_site_fract_z
_atom_site_occupancy
Co1 Co 0.0000 0.0000 0.0000 1
Hg1 Hg 0.0000 0.5000 0.7501 1
Rh1 Rh 0.0000 0.0000 0.5200 1
Rh2 Rh 0.0000 0.5000 0.2785 1